Below is a relaxed FeW4Cl crystal, with properties calculated at the PBE level.

a b c (Å): 5.308 5.308 5.308
angles (deg): 60.00 60.00 60.00
Each line ends with the local moment (μB).
Sites, in units of the cell vectors:
Cl: 0.250 0.250 0.250  0.01
W: 0.625 0.625 0.126  -0.05
W: 0.625 0.126 0.625  -0.05
W: 0.126 0.625 0.625  -0.05
W: 0.625 0.625 0.625  -0.05
Fe: 0.000 0.000 0.000  2.91



Below is a relaxed FeWCl2 crystal, with properties calculated at the PBE level.

The calculation puts the energy above the most stable polymorph in this dataset at 730.7 meV per atom.

a b c (Å): 6.317 6.317 6.317
angles (deg): 152.81 137.89 50.85
Each line ends with the local moment (μB).
Sites, in units of the cell vectors:
Fe: 0.577 0.577 0.000  2.62
Cl: 0.941 0.941 0.000  0.01
Cl: 0.241 0.741 0.500  0.00
W: 0.741 0.241 0.500  -0.46



Below is a relaxed FeW2Cl crystal, with properties calculated at the PBE level.

The calculation puts the energy above the most stable polymorph in this dataset at 122.9 meV per atom.

a b c (Å): 2.870 2.870 8.306
angles (deg): 90.00 90.00 90.00
Each line ends with the local moment (μB).
Sites, in units of the cell vectors:
W: 0.000 0.000 0.997  -0.31
W: 0.500 0.500 0.241  -0.08
Fe: 0.500 0.500 0.814  1.75
Cl: 0.000 0.000 0.448  0.00



Below is a relaxed Fe2WCl crystal, with properties calculated at the PBE level.

The calculation puts the energy above the most stable polymorph in this dataset at 19.0 meV per atom.

a b c (Å): 2.813 2.813 8.060
angles (deg): 90.00 90.00 113.05
Each line ends with the local moment (μB).
Sites, in units of the cell vectors:
Fe: 0.000 0.000 0.504  2.68
Fe: 0.000 0.000 0.996  2.68
W: 0.500 0.500 0.250  -0.15
Cl: 0.500 0.500 0.750  0.12



Below is a relaxed FeW2Cl crystal, with properties calculated at the PBE level.

The calculation puts the energy above the most stable polymorph in this dataset at 787.9 meV per atom.

a b c (Å): 5.138 5.138 5.138
angles (deg): 137.02 137.02 62.41
Each line ends with the local moment (μB).
Sites, in units of the cell vectors:
Fe: 0.750 0.250 0.500  2.43
W: 0.500 0.500 0.000  -0.07
W: 0.000 0.000 0.000  -0.07
Cl: 0.250 0.750 0.500  0.04



Below is a relaxed FeWCl crystal, with properties calculated at the PBE level.

The calculation puts the energy above the most stable polymorph in this dataset at 0.0 meV per atom.

a b c (Å): 3.007 3.007 6.028
angles (deg): 90.00 90.00 120.00
Each line ends with the local moment (μB).
Sites, in units of the cell vectors:
Cl: 0.000 0.000 0.989  0.01
W: 0.333 0.667 0.650  -0.12
Fe: 0.667 0.333 0.361  2.20



Number 1: uncorrected formation energy 1.215 eV per atom, calculated density 12.98 g/cm3. Number 2: uncorrected formation energy 0.594 eV per atom, calculated density 6.70 g/cm3. Number 3: uncorrected formation energy 0.531 eV per atom, calculated density 11.14 g/cm3. Number 4: uncorrected formation energy 0.338 eV per atom, calculated density 9.37 g/cm3. Number 5: uncorrected formation energy 1.196 eV per atom, calculated density 12.24 g/cm3. Number 6: uncorrected formation energy 0.393 eV per atom, calculated density 9.68 g/cm3.